Here is a relaxed Cs2CaReCl crystal from the Alexandria database. Energies are from PBE.

POSCAR file:
```
Cs2CaReCl
1.0
-5.2227 -0.7813 -4.4190
-1.2174 -3.7780 2.1068
-4.0814 3.6456 4.1791
Cs Re Ca Cl
2 1 1 1
Cartesian
-2.0407 1.8228 2.0896 Cs
-2.6113 -0.3906 -2.2095 Cs
-0.6087 -1.8890 1.0534 Re
-5.2607 -0.4568 0.9335 Ca
0.0000 0.0000 0.0000 Cl
```

Calculated values
Its space group is P4/mmm. The value obtained for the calculated total energy is -2.89 eV/atom. As for the calculated volume: 213 Å³/cell.

=====

Here is a relaxed TbCeIrO6 crystal from the Alexandria database. Energies are from PBE.

POSCAR file:
```
TbCeIrO6
1.0
-1.6102 1.5356 -5.0445
-0.5879 -5.2418 1.6050
-8.8266 2.0430 3.4394
Tb Ce Ir O
2 2 2 12
Cartesian
0.0000 0.0000 0.0000 Tb
-4.4133 1.0215 1.7197 Tb
-3.1353 -2.4719 0.2483 Ce
-7.8894 0.8088 -0.2485 Ce
-3.4761 -0.2128 -1.9682 Ir
-7.5486 -1.4504 1.9680 Ir
-2.6479 -2.0215 -1.9180 O
-2.9281 0.0439 -3.8639 O
-6.6915 -3.2427 2.0826 O
-8.0967 -1.7071 3.8637 O
-4.0030 -0.4016 -0.0585 O
-5.1466 -1.1092 -2.5731 O
-9.2269 -2.2955 1.3127 O
-4.3332 1.5795 -2.0827 O
-5.8781 -0.5540 2.5729 O
-1.7978 0.6323 -1.3129 O
-7.0217 -1.2616 0.0583 O
-8.3769 0.3583 1.9178 O
```

Calculated values
Its space group is P-31c. The value obtained for the calculated total energy is -7.77 eV/atom. As for the calculated volume: 255 Å³/cell.

=====

Here is a relaxed InSiAu crystal from the Alexandria database. Energies are from PBE.

POSCAR file:
```
InSiAu
1.0
-1.4653 -3.0102 5.3685
2.8906 -2.4305 0.7869
3.6387 2.6939 4.4360
Si Au In
2 2 2
Cartesian
3.1213 -2.6957 4.5704 Si
1.7850 -1.8085 2.7657 Si
4.2722 -0.9053 5.8865 Au
1.7203 -3.7562 6.3528 Au
0.6544 -1.5263 7.7051 In
3.5342 -0.8614 8.6497 In
```

Calculated values
Its space group is P-1. The value obtained for the calculated total energy is -3.85 eV/atom. As for the calculated volume: 138 Å³/cell.

=====

Here is a relaxed CaFe2Cu crystal from the Alexandria database. Energies are from PBE.

POSCAR file:
```
CaFe2Cu
1.0
-1.2397 1.2142 2.7486
1.0588 -3.5830 2.0603
4.0489 1.7915 1.0348
Ca Fe Cu
1 2 1
Cartesian
1.4046 1.5029 1.8917 Ca
0.0000 0.0000 0.0000 Fe
-0.0905 -1.1844 2.4045 Fe
2.5539 -0.8957 1.5476 Cu
```

Calculated values
The formation energy comes out at 510 meV/atom. Its space group is Pmmm. The value obtained for the calculated total energy is -5.25 eV/atom. As for the calculated volume: 63 Å³/cell.

=====

Here is a relaxed LiINF2 crystal from the Alexandria database. Energies are from PBE.

POSCAR file:
```
LiINF2
1.0
-0.7932 -4.5612 -1.3966
0.9532 -1.5387 4.4842
-3.8886 0.3829 0.9580
I N Li F
1 1 1 2
Cartesian
0.0000 0.0000 0.0000 I
-1.9443 0.1914 0.4790 N
-1.8643 -2.8585 2.0228 Li
0.4766 -0.7694 2.2421 F
-0.3966 -2.2806 -0.6983 F
```

Calculated values
Its space group is P4/mmm. The value obtained for the calculated total energy is -3.42 eV/atom. As for the calculated volume: 94 Å³/cell. The energy above the most stable polymorph in this dataset comes out at 2.0 meV per atom.

=====

Here is a relaxed LiPa2ZnN5 crystal from the Alexandria database. Energies are from PBE.

POSCAR file:
```
LiPa2ZnN5
1.0
3.5405 0.0000 0.0000
-1.7703 7.0774 0.0000
0.0000 0.0000 9.2352
Li Pa Zn N
2 4 2 10
Cartesian
1.7703 3.9622 4.3963 Li
0.0000 3.1152 9.0139 Li
1.7703 4.9308 7.1442 Pa
0.0000 1.8546 6.1591 Pa
0.0000 2.1466 2.5266 Pa
1.7703 5.2229 1.5415 Pa
1.7703 0.3297 0.1096 Zn
0.0000 6.7477 4.7273 Zn
0.0000 5.2135 8.9873 N
1.7703 2.7559 7.6087 N
1.7703 1.3238 7.5885 N
0.0000 4.2258 5.9893 N
1.7703 6.7162 5.8027 N
1.7703 1.8640 4.3697 N
0.0000 4.3216 2.9911 N
0.0000 5.7536 2.9709 N
1.7703 2.8516 1.3717 N
0.0000 0.3612 1.1850 N
```

Calculated values
Its space group is Cmc2_1. The value obtained for the calculated total energy is -8.02 eV/atom. As for the calculated volume: 231 Å³/cell.